Entry 1:
! Er4TmN5, relaxed, DFT PBE-GGA; values from VASP
&SYSTEM
  ibrav = 0, nat = 10, ntyp = 3
/
ATOMIC_SPECIES
Er 167.26 Er.upf
Tm 168.93 Tm.upf
N 14.01 N.upf
CELL_PARAMETERS angstrom
-3.8270 3.8270 2.4201
3.8270 -3.8270 2.4201
3.8270 3.8270 -2.4201
ATOMIC_POSITIONS angstrom
Er 5.3594 0.7657 0.0000
Er 0.7657 2.2947 0.0000
Er 3.0613 1.5323 2.4201
Er -1.5323 3.0613 2.4201
Tm 0.0000 0.0000 2.4201
N 0.0000 0.0000 0.0000
N 3.0644 1.5380 0.0000
N 2.2891 -0.7626 2.4201
N 1.5380 4.5897 0.0000
N 0.7626 2.2891 2.4201
! Crystal system: tetragonal
! Symmetry: No. 87

Entry 2:
! ErTmN, relaxed, DFT PBE-GGA; values from VASP
&SYSTEM
  ibrav = 0, nat = 6, ntyp = 3
/
ATOMIC_SPECIES
Er 167.26 Er.upf
Tm 168.93 Tm.upf
N 14.01 N.upf
CELL_PARAMETERS angstrom
4.6073 0.0000 0.0000
0.0000 4.6073 0.0000
0.0000 0.0000 7.6080
ATOMIC_POSITIONS angstrom
Er 0.0000 0.0000 0.0000
Er 2.3036 2.3036 3.8040
Tm 0.0000 0.0000 3.5460
Tm 2.3036 2.3036 7.3500
N 0.0000 0.0000 5.5726
N 2.3036 2.3036 1.7686
! Polymorph energy (0 for the lowest one), meV/atom: 1286
! Crystal system: tetragonal
! Symmetry: No. 107

Entry 3:
! ErTm2N, relaxed, DFT PBE-GGA; values from VASP
&SYSTEM
  ibrav = 0, nat = 12, ntyp = 3
/
ATOMIC_SPECIES
Er 167.26 Er.upf
Tm 168.93 Tm.upf
N 14.01 N.upf
CELL_PARAMETERS angstrom
3.4185 0.0000 0.0000
-1.7093 2.9605 0.0000
0.0000 0.0000 26.4316
ATOMIC_POSITIONS angstrom
Er 0.0000 0.0000 0.0000
Er 0.0000 1.9737 17.6211
Er 1.7093 0.9868 8.8105
Tm 0.0000 0.0000 5.7477
Tm 0.0000 0.0000 20.6839
Tm 0.0000 1.9737 11.8734
Tm 0.0000 1.9737 23.3687
Tm 1.7093 0.9868 3.0628
Tm 1.7093 0.9868 14.5582
N 0.0000 0.0000 13.2158
N 0.0000 1.9737 4.4053
N 1.7093 0.9868 22.0263
! Crystal system: trigonal
! Symmetry: No. 166

It is found that the N(E_F) values, taken in the order of the records, are 0.3 4.7 10.7 states/eV per cell.
It is found that the formation energy (no corrections) values, taken in the order of the records, are -1730 56 -317 kJ/mol of formula units.
It is found that the volume values, taken in the order of the records, are 14.18 26.92 22.29 Å³ per atom.